Record 1
First-principles (PBE-GGA) data for a relaxed structure of FeAuI2N, as listed in Alexandria.

a b c (Å): 5.9829 5.9829 3.7874
angles (deg): 90.00 90.00 90.00
Sites, in units of the cell vectors:
Fe: 0.0000 0.0000 0.0000
Au: 0.5000 0.5000 0.5000
I: 0.0000 0.5000 0.5000
I: 0.5000 0.0000 0.5000
N: 0.5000 0.5000 0.0000

Values from the calculation:
- Distance to the lowest polymorph of the same formula: 0.732 eV per atom
- Uncorrected formation energy: 1255 meV per atom
- Calculated total energy: -0.2483 Ry per atom

---

Record 2
First-principles (PBE-GGA) data for a relaxed structure of PrDy2Sn, as listed in Alexandria.

a b c (Å): 12.2227 12.2227 12.2227
angles (deg): 16.67 16.67 16.67
Sites, in units of the cell vectors:
Pr: 0.0000 0.0000 0.0000
Dy: 0.4140 0.4140 0.4140
Dy: 0.5860 0.5860 0.5860
Sn: 0.5000 0.5000 0.5000

Values from the calculation:
- Distance to the lowest polymorph of the same formula: 0.472 eV per atom
- Energy relative to the elements: 0.05 eV per atom
- Calculated total energy: -0.3265 Ry per atom

---

Record 3
First-principles (PBE-GGA) data for a relaxed structure of HgSbTe2, as listed in Alexandria.

a b c (Å): 8.1790 8.1790 8.1790
angles (deg): 30.75 30.75 30.75
Sites, in units of the cell vectors:
Hg: 0.0000 0.0000 0.0000
Sb: 0.1698 0.1698 0.1698
Te: 0.5802 0.5802 0.5802
Te: 0.7568 0.7568 0.7568

Values from the calculation:
- Distance to the lowest polymorph of the same formula: 0.033 eV per atom
- Uncorrected formation energy: -47 meV per atom
- Calculated total energy: -0.2002 Ry per atom

---

Record 4
First-principles (PBE-GGA) data for a relaxed structure of YCdOF2, as listed in Alexandria.

a b c (Å): 4.3628 4.3628 4.3166
angles (deg): 90.00 90.00 90.00
Sites, in units of the cell vectors:
Y: 0.0000 0.0000 0.0000
Cd: 0.5000 0.5000 0.5000
O: 0.5000 0.5000 0.0000
F: 0.0000 0.5000 0.5000
F: 0.5000 0.0000 0.5000

Values from the calculation:
- Distance to the lowest polymorph of the same formula: 0.860 eV per atom
- Uncorrected formation energy: -1742 meV per atom
- Calculated total energy: -0.3644 Ry per atom

---

Record 5
First-principles (PBE-GGA) data for a relaxed structure of CsPuTiO4, as listed in Alexandria.

a b c (Å): 6.0832 6.1703 8.1663
angles (deg): 90.00 109.28 90.00
Sites, in units of the cell vectors:
Cs: 0.1928 0.2500 0.4312
Cs: 0.8072 0.7500 0.5688
Pu: 0.3111 0.2500 0.9590
Pu: 0.6889 0.7500 0.0410
Ti: 0.2307 0.7500 0.1470
Ti: 0.7693 0.2500 0.8530
O: 0.0067 0.7500 0.9395
O: 0.0428 0.7500 0.2821
O: 0.4425 0.5241 0.1589
O: 0.4425 0.9759 0.1589
O: 0.5575 0.0241 0.8411
O: 0.5575 0.4759 0.8411
O: 0.9572 0.2500 0.7179
O: 0.9933 0.2500 0.0605

Values from the calculation:
- Uncorrected formation energy: -2687 meV per atom
- Calculated total energy: -0.6481 Ry per atom

---

Record 6
First-principles (PBE-GGA) data for a relaxed structure of La4TlSbI2, as listed in Alexandria.

a b c (Å): 7.8838 4.7183 8.1106
angles (deg): 90.00 110.34 90.00
Sites, in units of the cell vectors:
La: 0.2294 0.0000 0.2440
La: 0.2298 0.5000 0.7416
La: 0.7702 0.5000 0.2584
La: 0.7706 0.0000 0.7560
Tl: 0.0000 0.0000 0.5000
Sb: 0.0000 0.5000 0.0000
I: 0.5000 0.0000 0.0000
I: 0.5000 0.5000 0.5000

Values from the calculation:
- Uncorrected formation energy: -956 meV per atom
- Calculated total energy: -0.3395 Ry per atom

---

Record 7
First-principles (PBE-GGA) data for a relaxed structure of HfV2Mo2, as listed in Alexandria.

a b c (Å): 7.3748 7.3748 3.0338
angles (deg): 90.00 90.00 90.00
Sites, in units of the cell vectors:
Hf: 0.0000 0.0000 0.0000
Hf: 0.5000 0.5000 0.0000
V: 0.1345 0.3655 0.0000
V: 0.3655 0.8655 0.0000
V: 0.6345 0.1345 0.0000
V: 0.8655 0.6345 0.0000
Mo: 0.1519 0.6519 0.5000
Mo: 0.3481 0.1519 0.5000
Mo: 0.6519 0.8481 0.5000
Mo: 0.8481 0.3481 0.5000

Values from the calculation:
- Energy relative to the elements: 0.29 eV per atom
- Calculated total energy: -0.7117 Ry per atom

---

Record 8
First-principles (PBE-GGA) data for a relaxed structure of SrScTlO2, as listed in Alexandria.

a b c (Å): 4.3263 4.3263 5.5156
angles (deg): 90.00 90.00 90.00
Sites, in units of the cell vectors:
Sr: 0.0000 0.0000 0.0000
Sc: 0.5000 0.5000 0.5000
Tl: 0.5000 0.5000 0.0000
O: 0.0000 0.5000 0.5000
O: 0.5000 0.0000 0.5000

Values from the calculation:
- Uncorrected formation energy: -1307 meV per atom
- Calculated total energy: -0.3944 Ry per atom